# PrTm2Mg

PrTm2Mg after structural relaxation (PBE-GGA, Alexandria via LeMat-Bulk).

Cell lengths 7.817, 7.817, 7.817 Å; angles 90.00, 90.00, 90.00 degrees
Space group Fm-3m (No. 225)
Unique sites:
Pr  0.000  0.000  0.000
Tm  0.250  0.250  0.250
Mg  0.000  0.000  0.500

Values from the calculation:
**Formation energy from the elements**: 0.11 eV per atom
**Mass density**: 6.995 g cm⁻³

=====

# Ac6OsPt2

Ac6OsPt2 after structural relaxation (PBE-GGA, Alexandria via LeMat-Bulk).

Cell lengths 7.628, 7.067, 15.007 Å; angles 90.00, 120.55, 90.00 degrees
Space group P2_1/c (No. 14)
Unique sites:
Ac  0.006  0.237  0.339
Ac  0.327  0.239  0.660
Ac  0.329  0.725  0.000
Os  0.000  0.000  0.500
Pt  0.324  0.501  0.824

Values from the calculation:
**Formation energy from the elements**: -0.58 eV per atom
**Mass density**: 9.259 g cm⁻³

=====

# In3MoRu

In3MoRu after structural relaxation (PBE-GGA, Alexandria via LeMat-Bulk).

Cell lengths 5.118, 5.118, 5.118 Å; angles 90.00, 90.00, 90.00 degrees
Space group Pm-3m (No. 221)
Unique sites:
In  0.000  0.000  0.500
Mo  0.500  0.500  0.500
Ru  0.000  0.000  0.000

Values from the calculation:
**Formation energy from the elements**: 0.89 eV per atom
**Mass density**: 6.709 g cm⁻³

=====

# SrC3

SrC3 after structural relaxation (PBE-GGA, Alexandria via LeMat-Bulk).

Cell lengths 3.3352, 3.3352, 13.9450 Å; angles 90.00, 90.00, 120.00 degrees
Space group R-3m (No. 166, hexagonal axes)
Unique sites:
Sr  0.0000  0.0000  0.0000
C  0.0000  0.0000  0.1980
C  0.0000  0.0000  0.5000

Values from the calculation:
**Formation energy from the elements**: 2.22 eV per atom
**Mass density**: 4.585 g cm⁻³

=====

# Te2IrBr

Te2IrBr after structural relaxation (PBE-GGA, Alexandria via LeMat-Bulk).

Cell lengths 3.9852, 3.9852, 23.3571 Å; angles 90.00, 90.00, 120.00 degrees
Space group R3m (No. 160, hexagonal axes)
Unique sites:
Te  0.0000  0.0000  0.0000
Te  0.0000  0.0000  0.2167
Ir  0.0000  0.0000  0.6088
Br  0.0000  0.0000  0.7839

Values from the calculation:
**Mass density**: 8.177 g cm⁻³
**Formation energy without anion corrections**: -190 meV per atom

=====

# Ac7La2Ho

Ac7La2Ho after structural relaxation (PBE-GGA, Alexandria via LeMat-Bulk).

Cell lengths 10.029, 16.807, 5.999 Å; angles 90.00, 90.00, 90.00 degrees
Space group Cmmm (No. 65)
Unique sites:
Ac  0.000  0.000  0.000
Ac  0.000  0.264  0.500
Ac  0.185  0.381  0.000
La  0.000  0.201  0.000
Ho  0.000  0.500  0.500

Values from the calculation:
**Formation energy from the elements**: 0.60 eV per atom
**Mass density**: 6.673 g cm⁻³

=====

# LiPrGdMn

LiPrGdMn after structural relaxation (PBE-GGA, Alexandria via LeMat-Bulk).

Cell lengths 7.325, 7.325, 7.325 Å; angles 90.00, 90.00, 90.00 degrees
Space group F-43m (No. 216)
Unique sites:
Li  0.000  0.000  0.000
Pr  0.250  0.250  0.250
Gd  0.250  0.250  0.750
Mn  0.000  0.000  0.500

Values from the calculation:
**Formation energy from the elements**: 0.18 eV per atom
**Mass density**: 6.083 g cm⁻³

=====

# Sr3HoTh2Bi6

Sr3HoTh2Bi6 after structural relaxation (PBE-GGA, Alexandria via LeMat-Bulk).

Cell lengths 8.071, 13.988, 8.280 Å; angles 90.00, 109.00, 90.00 degrees
Space group C2/m (No. 12)
Unique sites:
Sr  0.000  0.000  0.000
Sr  0.000  0.332  0.000
Ho  0.000  0.500  0.500
Th  0.000  0.166  0.500
Bi  0.241  0.335  0.729
Bi  0.248  0.000  0.731

Values from the calculation:
**Formation energy from the elements**: -0.78 eV per atom
**Mass density**: 8.062 g cm⁻³

=====

# Li12Mg2Ag

Li12Mg2Ag after structural relaxation (PBE-GGA, Alexandria via LeMat-Bulk).

Cell lengths 5.648, 5.648, 19.278 Å; angles 90.00, 90.00, 90.00 degrees
Space group P4/nbm (No. 125, origin choice 2)
Unique sites:
Li  0.000  0.000  0.093
Li  0.072  0.572  0.436
Li  0.250  0.250  0.203
Li  0.250  0.250  0.336
Mg  0.250  0.750  0.270
Ag  0.250  0.750  0.000

Values from the calculation:
**Formation energy from the elements**: 0.08 eV per atom
**Mass density**: 1.295 g cm⁻³

=====

# Te7Pd20

Te7Pd20 after structural relaxation (PBE-GGA, Alexandria via LeMat-Bulk).

Cell lengths 12.0042, 12.0042, 11.3972 Å; angles 90.00, 90.00, 120.00 degrees
Space group R-3 (No. 148, hexagonal axes)
Unique sites:
Te  0.0000  0.0000  0.0000
Te  0.0367  0.8052  0.6854
Pd  0.0000  0.0000  0.3808
Pd  0.0062  0.7729  0.4538
Pd  0.0335  0.8565  0.1881
Pd  0.0497  0.7955  0.9390

Values from the calculation:
**Mass density**: 10.583 g cm⁻³
**Formation energy without anion corrections**: -286 meV per atom

=====

# AsSe2I2

AsSe2I2 after structural relaxation (PBE-GGA, Alexandria via LeMat-Bulk).

Cell lengths 9.332, 12.462, 8.440 Å; angles 90.00, 119.14, 90.00 degrees
Space group C2/m (No. 12)
Unique sites:
As  0.000  0.174  0.000
Se  0.126  0.000  0.870
Se  0.151  0.000  0.260
I  0.022  0.314  0.248

Values from the calculation:
**Mass density**: 3.770 g cm⁻³
**Formation energy without anion corrections**: 78 meV per atom

=====

# Ce2TePt2

Ce2TePt2 after structural relaxation (PBE-GGA, Alexandria via LeMat-Bulk).

Cell lengths 7.866, 7.866, 3.839 Å; angles 90.00, 90.00, 90.00 degrees
Space group P4/mbm (No. 127)
Unique sites:
Ce  0.174  0.326  0.000
Te  0.000  0.000  0.500
Pt  0.125  0.625  0.500

Values from the calculation:
**Mass density**: 11.159 g cm⁻³
**Formation energy without anion corrections**: -1135 meV per atom